This record from Alexandria describes crystalline SrNd2Gd at its relaxed geometry. The functional is PBE-GGA.

Its excess energy over the best structure of this formula in the dataset is 9.5 kJ/mol of atoms. As for the density: 5762 kg/m3.

The structure belongs to space group R-3m (No. 166, hexagonal axes); the cell edges are 3.6793, 3.6793 and 39.3296 Å and the angles 90.00°, 90.00° and 120.00°. The asymmetric unit holds Sr at (0.0000, 0.0000, 0.0000), Nd at (0.0000, 0.0000, 0.0929) and Gd at (0.0000, 0.0000, 0.5000).


This record from Alexandria describes crystalline CaTl2RhCl6 at its relaxed geometry. The functional is PBE-GGA.

As for the density: 4586 kg/m3. As for the raw formation energy: -1.16 eV per atom.

The structure belongs to space group Pmmn (No. 59, origin choice 2); the cell edges are 7.305, 10.153 and 7.465 Å and the angles 90.00°, 90.00° and 90.00°. The asymmetric unit holds Ca at (0.250, 0.250, 0.236), Tl at (0.250, 0.027, 0.729), Rh at (0.250, 0.750, 0.260), Cl at (0.002, 0.750, 0.026), Cl at (0.003, 0.750, 0.497) and Cl at (0.250, 0.518, 0.265).


This record from Alexandria describes crystalline RbNp2Cd2O7 at its relaxed geometry. The functional is PBE-GGA.

As for the density: 7615 kg/m3. As for the raw formation energy: -2.15 eV per atom.

The structure belongs to space group Immm (No. 71); the cell edges are 4.250, 4.501 and 20.436 Å and the angles 90.00°, 90.00° and 90.00°. The asymmetric unit holds Rb at (0.000, 0.000, 0.000), Np at (0.000, 0.000, 0.395), Cd at (0.000, 0.500, 0.272), O at (0.000, 0.000, 0.280), O at (0.000, 0.000, 0.500), O at (0.000, 0.500, 0.105) and O at (0.000, 0.500, 0.389).


This record from Alexandria describes crystalline Tl2CdAsS4 at its relaxed geometry. The functional is PBE-GGA.

As for the density: 4912 kg/m3. As for the raw formation energy: -0.18 eV per atom.

The structure belongs to space group Fddd (No. 70, origin choice 2); the cell edges are 6.349, 13.215 and 23.348 Å and the angles 90.00°, 90.00° and 90.00°. The asymmetric unit holds Tl at (0.125, 0.125, 0.317), Cd at (0.125, 0.125, 0.125), As at (0.125, 0.125, 0.625) and S at (0.097, 0.266, 0.825).


This record from Alexandria describes crystalline VIr2Os at its relaxed geometry. The functional is PBE-GGA.

Its excess energy over the best structure of this formula in the dataset is 63.7 kJ/mol of atoms. As for the density: 17710 kg/m3.

The structure belongs to space group Fm-3m (No. 225); the cell edges are 6.168, 6.168 and 6.168 Å and the angles 90.00°, 90.00° and 90.00°. The asymmetric unit holds V at (0.000, 0.000, 0.000), Ir at (0.250, 0.250, 0.250) and Os at (0.000, 0.000, 0.500).


This record from Alexandria describes crystalline PrNd2Hg at its relaxed geometry. The functional is PBE-GGA.

Its excess energy over the best structure of this formula in the dataset is 5.7 kJ/mol of atoms. As for the density: 8546 kg/m3.

The structure belongs to space group P4/mmm (No. 123); the cell edges are 4.965, 4.965 and 4.966 Å and the angles 90.00°, 90.00° and 90.00°. The asymmetric unit holds Pr at (0.000, 0.000, 0.000), Nd at (0.000, 0.500, 0.500) and Hg at (0.500, 0.500, 0.000).